{"formula": "CsRbCu3", "functional": "GGA-PBE", "state": "relaxed", "e_above_lowest_polymorph_mev_per_atom": 91, "ef_mev_per_atom": 1186, "mass_density_g_cm3": 2.805, "cell": [[-1.731, 3.655, -4.742], [-5.689, 0.536, 2.489], [1.867, 5.020, 3.187]], "species": ["Cu", "Cs", "Cu", "Rb", "Cu"], "frac_coords": [[0.000, 0.500, 0.000], [0.000, 0.000, 0.000], [0.500, 0.000, 0.000], [0.500, 0.500, 0.500], [0.000, 0.000, 0.500]]}